Compound: Y2Nb2Co
Source: the Alexandria database
Functional: GGA-PBE
Structure: relaxed

abc: 6.5271 6.5271 5.0951
angles: 90.00 90.00 90.00
Space group P4/mbm (No. 127)
Unique sites:
Y 0.1697 0.3303 0.0000 [4 per cell]
Nb 0.1479 0.6479 0.5000 [4 per cell]
Co 0.0000 0.0000 0.5000 [2 per cell]

Summary:
Energy relative to the elements = 211 meV/atom
Spin magnetization = 0.00 μB per cell
Calculated total energy = -7.82 eV/atom